Below is a relaxed structure of CaRu, with properties calculated at the PBE level.

Calculated values
SG   Cmmm
Calculated volume   19.2 Å³ per atom
ΔH_f (0 K)   544 meV per atom
Size of the total moment   0.0 μB per formula unit

Geometry as CIF:
```
data_CaRu
_chemical_formula_sum 'Ca1 Ru1'
_cell_length_a 2.9948
_cell_length_b 2.9948
_cell_length_c 4.6044
_cell_angle_alpha 90.00
_cell_angle_beta 90.00
_cell_angle_gamma 111.73
_symmetry_space_group_name_H-M 'P 1'
_symmetry_Int_Tables_number 1
loop_
_symmetry_equiv_pos_as_xyz
'x,y,z'
loop_
_atom_site_label
_atom_site_type_symbol
_atom_site_fract_x
_atom_site_fract_y
_atom_site_fract_z
Ca1 Ca 0.0000 0.0000 0.0000
Ru1 Ru 0.5000 0.5000 0.5000
```

Below is a relaxed structure of CaRu, with properties calculated at the PBE level.

Calculated values
SG   Pmmn
Calculated volume   23.7 Å³ per atom
ΔH_f (0 K)   234 meV per atom
Size of the total moment   0.0 μB per formula unit

Geometry as CIF:
```
data_CaRu
_chemical_formula_sum 'Ca2 Ru2'
_cell_length_a 3.1130
_cell_length_b 3.5365
_cell_length_c 8.5930
_cell_angle_alpha 90.00
_cell_angle_beta 90.00
_cell_angle_gamma 90.00
_symmetry_space_group_name_H-M 'P 1'
_symmetry_Int_Tables_number 1
loop_
_symmetry_equiv_pos_as_xyz
'x,y,z'
loop_
_atom_site_label
_atom_site_type_symbol
_atom_site_fract_x
_atom_site_fract_y
_atom_site_fract_z
Ca1 Ca 0.2500 0.2500 0.2007
Ca2 Ca 0.7500 0.7500 0.7993
Ru1 Ru 0.2500 0.2500 0.5589
Ru2 Ru 0.7500 0.7500 0.4411
```

Below is a relaxed structure of CaRu, with properties calculated at the PBE level.

Calculated values
SG   R3m
Calculated volume   28.2 Å³ per atom
ΔH_f (0 K)   180 meV per atom
Size of the total moment   0.0 μB per formula unit

Geometry as CIF:
```
data_CaRu
_chemical_formula_sum 'Ca2 Ru2'
_cell_length_a 8.4110
_cell_length_b 8.4110
_cell_length_c 8.4110
_cell_angle_alpha 27.59
_cell_angle_beta 27.59
_cell_angle_gamma 27.59
_symmetry_space_group_name_H-M 'P 1'
_symmetry_Int_Tables_number 1
loop_
_symmetry_equiv_pos_as_xyz
'x,y,z'
loop_
_atom_site_label
_atom_site_type_symbol
_atom_site_fract_x
_atom_site_fract_y
_atom_site_fract_z
Ca1 Ca 0.0000 0.0000 0.0000
Ca2 Ca 0.4745 0.4745 0.4745
Ru1 Ru 0.2417 0.2417 0.2417
Ru2 Ru 0.8835 0.8835 0.8835
```

Look up the calculated volume of the second one.
23.7 Å³ per atom

Which of these has the highest ΔH_f (0 K)?
number 1

Number 1 is which compound?
CaRu